## Dy3GaHg (PBE)

Data for Dy3GaHg after structural relaxation.

Summary:
As for the total energy: -3.8201 eV/atom. For the formation energy, the calculation gives -0.39 eV/atom. The relative energy among the computed polymorphs comes out at 0 meV/atom.

Unit cell a=5.0841 b=20.2989 c=5.0888 alpha=90.00 beta=90.00 gamma=90.00
Space group Cmcm (No. 63)
Symmetry-distinct sites (fractional):
Dy1 0.0000 0.0630 0.2500 x4
Dy2 0.0000 0.2495 0.2500 x4
Dy3 0.0000 0.4353 0.2500 x4
Ga1 0.0000 0.1576 0.7500 x4
Hg1 0.0000 0.3436 0.7500 x4